Record 1
First-principles (PBE-GGA) data for crystalline KTlPbO2 at its relaxed geometry, as listed in the Alexandria database.

Output
E_form (uncorrected) = -0.0413 eV per atom
energy relative to the lowest polymorph listed for this composition = 0.9923 eV per atom
D(E_F) = 2.2 states/eV/f.u.

Cell lengths 4.595, 4.595, 6.226 Å; angles 90.00, 90.00, 90.00 degrees
Space group P4/mmm (No. 123)
One atom of each set of equivalent atoms:
K (0.000, 0.000, 0.000)
Tl (0.500, 0.500, 0.000)
Pb (0.000, 0.000, 0.500)
O (0.000, 0.500, 0.500)


Record 2
First-principles (PBE-GGA) data for crystalline La2MgGa4Ni3 at its relaxed geometry, as listed in the Alexandria database.

Output
D(E_F) = 6.3 states/eV/f.u.
ΔH_f (0 K) = -491 kJ/mol of formula units

Cell lengths 4.201, 4.201, 10.720 Å; angles 90.00, 90.00, 90.00 degrees
Space group P-4m2 (No. 115)
One atom of each set of equivalent atoms:
La (0.000, 0.500, 0.231)
Mg (0.000, 0.000, 0.500)
Ga (0.000, 0.000, 0.000)
Ga (0.000, 0.500, 0.650)
Ga (0.500, 0.500, 0.000)
Ni (0.000, 0.500, 0.876)
Ni (0.500, 0.500, 0.500)


Record 3
First-principles (PBE-GGA) data for crystalline Cr2GaC at its relaxed geometry, as listed in the Alexandria database.

Output
energy relative to the lowest polymorph listed for this composition = 0.0071 eV per atom
D(E_F) = 2.5 states/eV/f.u.
ΔH_f (0 K) = -54 kJ/mol of formula units

Cell lengths 2.8598, 2.8598, 18.8945 Å; angles 90.00, 90.00, 120.00 degrees
Space group R3m (No. 160, hexagonal axes)
One atom of each set of equivalent atoms:
Cr (0.0000, 0.0000, 0.0000)
Cr (0.0000, 0.0000, 0.2202)
Ga (0.0000, 0.0000, 0.4424)
C (0.0000, 0.0000, 0.6100)


Record 4
First-principles (PBE-GGA) data for crystalline TlCoNiSe2 at its relaxed geometry, as listed in the Alexandria database.

Output
E_form (uncorrected) = -0.2464 eV per atom
D(E_F) = 3.7 states/eV/f.u.

Cell lengths 3.818, 3.818, 14.241 Å; angles 90.00, 90.00, 90.00 degrees
Space group I-4m2 (No. 119)
One atom of each set of equivalent atoms:
Tl (0.000, 0.000, 0.000)
Co (0.000, 0.500, 0.750)
Ni (0.000, 0.500, 0.250)
Se (0.000, 0.000, 0.350)


| no. | calculated volume (Å³ per atom) |
| --- | --- |
| 1 | 26.291 |
| 2 | 18.923 |
| 3 | 11.152 |
| 4 | 20.755 |